This record from OQMD via LeMat-Bulk describes crystalline CsTbFeSe3 at its relaxed geometry. The functional is GGA-PBE.

Structure (POSCAR):
```
CsTbFeSe3
1.0
10.879 0.000 0.000
0.000 4.170 0.000
0.000 0.000 16.204
Cs Fe Se Tb
4 4 12 4
direct
0.259 0.250 0.007
0.759 0.250 0.493
0.241 0.750 0.507
0.741 0.750 0.993
0.740 0.250 0.219
0.240 0.250 0.281
0.760 0.750 0.719
0.260 0.750 0.781
0.924 0.250 0.134
0.555 0.250 0.135
0.240 0.750 0.194
0.740 0.750 0.306
0.055 0.250 0.365
0.424 0.250 0.366
0.576 0.750 0.634
0.945 0.750 0.635
0.260 0.250 0.694
0.760 0.250 0.806
0.445 0.750 0.865
0.076 0.750 0.866
0.989 0.750 0.249
0.489 0.750 0.251
0.511 0.250 0.749
0.011 0.250 0.751
```

## Properties
Space-group type: Pnma, No. 62
Energy relative to the lowest polymorph listed for this composition, eV/atom: 0.007

***

This record from OQMD via LeMat-Bulk describes crystalline CsTbFeSe3 at its relaxed geometry. The functional is GGA-PBE.

Structure (POSCAR):
```
CsTbFeSe3
1.0
8.709 -2.169 0.000
8.709 2.169 0.000
-1.844 0.000 9.153
Cs Fe Se Tb
2 2 6 2
direct
0.154 0.154 0.060
0.846 0.846 0.940
0.499 0.499 0.270
0.501 0.501 0.730
0.500 0.500 0.000
0.353 0.353 0.240
0.664 0.664 0.361
0.000 0.000 0.500
0.336 0.336 0.639
0.647 0.647 0.760
0.836 0.836 0.431
0.164 0.164 0.569
```

## Properties
Space-group type: C2/m, No. 12
Energy relative to the lowest polymorph listed for this composition, eV/atom: 0.241

***

This record from OQMD via LeMat-Bulk describes crystalline CsYFeSe3 at its relaxed geometry. The functional is GGA-PBE.

Structure (POSCAR):
```
CsYFeSe3
1.0
8.775 -2.153 0.000
8.775 2.153 0.000
-1.795 0.000 9.103
Cs Fe Se Y
2 2 6 2
direct
0.154 0.154 0.063
0.846 0.846 0.937
0.497 0.497 0.268
0.503 0.503 0.732
0.500 0.500 0.000
0.352 0.352 0.238
0.665 0.665 0.362
0.000 0.000 0.500
0.335 0.335 0.638
0.648 0.648 0.762
0.836 0.836 0.431
0.164 0.164 0.569
```

## Properties
Space-group type: C2/m, No. 12
E_tot, eV/atom: -5.3405

***

This record from OQMD via LeMat-Bulk describes crystalline CsYFeSe3 at its relaxed geometry. The functional is GGA-PBE.

Structure (POSCAR):
```
CsYFeSe3
1.0
-6.781 2.654 6.326
1.432 -2.792 2.706
8.645 5.443 1.043
Cs Fe Se Y
2 2 6 2
direct
0.284 0.750 0.257
0.716 0.250 0.743
0.574 0.250 0.089
0.426 0.750 0.911
0.700 0.750 0.043
0.618 0.250 0.338
0.034 0.250 0.348
0.966 0.750 0.652
0.382 0.750 0.662
0.300 0.250 0.957
0.833 0.750 0.354
0.167 0.250 0.646
```

## Properties
Space-group type: P2_1/m, No. 11
E_tot, eV/atom: -5.5823

***

This record from OQMD via LeMat-Bulk describes crystalline CsSmFe at its relaxed geometry. The functional is GGA-PBE.

Structure (POSCAR):
```
CsSmFe
1.0
0.648 -1.706 4.557
4.485 -0.028 1.996
1.082 3.099 3.650
Cs Fe Sm
1 1 1
direct
0.000 0.000 0.000
0.750 0.750 0.750
0.250 0.250 0.250
```

## Properties
Space-group type: F-43m, No. 216
Energy relative to the lowest polymorph listed for this composition, eV/atom: 0.250

***

This record from OQMD via LeMat-Bulk describes crystalline CsSmFe at its relaxed geometry. The functional is GGA-PBE.

Structure (POSCAR):
```
CsSmFe
1.0
0.366 -4.913 -1.807
-3.323 -3.681 1.716
-3.696 -1.899 -3.205
Cs Fe Sm
1 1 1
direct
0.250 0.250 0.250
0.750 0.750 0.750
0.000 0.000 0.000
```

## Properties
Space-group type: F-43m, No. 216
Energy relative to the lowest polymorph listed for this composition, eV/atom: 0.000

***

This record from OQMD via LeMat-Bulk describes crystalline CsSrFe at its relaxed geometry. The functional is GGA-PBE.

Structure (POSCAR):
```
CsSrFe
1.0
0.000 4.003 4.003
4.003 0.000 4.003
4.003 4.003 0.000
Cs Fe Sr
1 1 1
direct
0.000 0.000 0.000
0.250 0.250 0.250
0.750 0.750 0.750
```

## Properties
Space-group type: F-43m, No. 216
E_tot, eV/atom: -2.2680

***

This record from OQMD via LeMat-Bulk describes crystalline CsTaFe at its relaxed geometry. The functional is GGA-PBE.

Structure (POSCAR):
```
CsTaFe
1.0
3.051 2.770 2.162
-1.494 3.765 2.292
0.156 0.108 4.650
Cs Fe Ta
1 1 1
direct
0.250 0.250 0.250
0.750 0.750 0.750
0.000 0.000 0.000
```

## Properties
Space-group type: F-43m, No. 216
E_tot, eV/atom: -4.8207

***

This record from OQMD via LeMat-Bulk describes crystalline CsFeTe at its relaxed geometry. The functional is GGA-PBE.

Structure (POSCAR):
```
CsFeTe
1.0
0.000 4.115 4.115
4.115 0.000 4.115
4.115 4.115 0.000
Cs Fe Te
1 1 1
direct
0.000 0.000 0.000
0.250 0.250 0.250
0.750 0.750 0.750
```

## Properties
Space-group type: F-43m, No. 216
E_tot, eV/atom: -2.9392

***

This record from OQMD via LeMat-Bulk describes crystalline CsFe3Te5 at its relaxed geometry. The functional is GGA-PBE.

Structure (POSCAR):
```
CsFe3Te5
1.0
-2.705 3.511 3.833
-0.462 -5.817 0.524
6.704 -0.098 4.821
Cs Fe Te
1 3 5
direct
0.000 0.000 0.000
0.500 0.000 0.500
0.000 0.500 0.500
0.500 0.500 0.500
0.667 0.333 0.268
0.333 0.667 0.268
0.000 0.000 0.500
0.667 0.333 0.732
0.333 0.667 0.732
```

## Properties
Space-group type: P6/mmm, No. 191
E_tot, eV/atom: -4.7629

***

This record from OQMD via LeMat-Bulk describes crystalline CsFe2Te3 at its relaxed geometry. The functional is GGA-PBE.

Structure (POSCAR):
```
CsFe2Te3
1.0
2.824 -0.308 -7.677
-6.726 -4.588 -0.846
-3.011 4.653 -1.294
Cs Fe Te
2 4 6
direct
0.847 0.153 0.250
0.153 0.847 0.750
0.380 0.380 0.000
0.620 0.620 0.000
0.380 0.380 0.500
0.620 0.620 0.500
0.354 0.120 0.250
0.359 0.641 0.250
0.880 0.646 0.250
0.120 0.354 0.750
0.641 0.359 0.750
0.646 0.880 0.750
```

## Properties
Space-group type: Cmcm, No. 63
E_tot, eV/atom: -4.7884

***

This record from OQMD via LeMat-Bulk describes crystalline CsTmFeTe3 at its relaxed geometry. The functional is GGA-PBE.

Structure (POSCAR):
```
CsTmFeTe3
1.0
9.305 -2.282 0.000
9.305 2.282 0.000
-1.920 0.000 9.657
Cs Fe Te Tm
2 2 6 2
direct
0.846 0.846 0.441
0.154 0.154 0.559
0.502 0.502 0.223
0.498 0.498 0.777
0.000 0.000 0.000
0.336 0.336 0.141
0.650 0.650 0.262
0.500 0.500 0.500
0.350 0.350 0.738
0.664 0.664 0.859
0.166 0.166 0.069
0.834 0.834 0.931
```

## Properties
Space-group type: C2/m, No. 12
E_tot, eV/atom: -4.4904

***

This record from OQMD via LeMat-Bulk describes crystalline CsTmFeTe3 at its relaxed geometry. The functional is GGA-PBE.

Structure (POSCAR):
```
CsTmFeTe3
1.0
-1.201 -7.298 -6.620
3.377 -2.079 1.679
-5.734 -1.510 9.663
Cs Fe Te Tm
2 2 6 2
direct
0.259 0.750 0.225
0.741 0.250 0.775
0.566 0.250 0.079
0.434 0.750 0.921
0.720 0.750 0.055
0.601 0.250 0.324
0.044 0.250 0.356
0.956 0.750 0.644
0.399 0.750 0.676
0.280 0.250 0.945
0.828 0.750 0.355
0.172 0.250 0.645
```

## Properties
Space-group type: P2_1/m, No. 11
E_tot, eV/atom: -4.7249

***

This record from OQMD via LeMat-Bulk describes crystalline CsYFeTe3 at its relaxed geometry. The functional is GGA-PBE.

Structure (POSCAR):
```
CsYFeTe3
1.0
-0.905 5.710 7.692
-5.134 5.635 5.872
-1.573 -8.922 4.023
Cs Fe Te Y
2 2 6 2
direct
0.154 0.154 0.065
0.846 0.846 0.935
0.501 0.501 0.275
0.499 0.499 0.725
0.500 0.500 0.000
0.352 0.352 0.232
0.662 0.662 0.361
0.000 0.000 0.500
0.338 0.338 0.639
0.648 0.648 0.768
0.833 0.833 0.425
0.167 0.167 0.575
```

## Properties
Space-group type: C2/m, No. 12
E_tot, eV/atom: -4.8477

***

This record from OQMD via LeMat-Bulk describes crystalline CsYFeTe3 at its relaxed geometry. The functional is GGA-PBE.

Structure (POSCAR):
```
CsYFeTe3
1.0
9.933 0.000 0.000
0.000 4.341 0.000
-4.596 0.000 10.447
Cs Fe Te Y
2 2 6 2
direct
0.755 0.750 0.222
0.245 0.250 0.778
0.066 0.250 0.080
0.934 0.750 0.920
0.219 0.750 0.055
0.095 0.250 0.321
0.545 0.250 0.355
0.455 0.750 0.645
0.905 0.750 0.679
0.781 0.250 0.945
0.327 0.750 0.355
0.673 0.250 0.645
```

## Properties
Space-group type: P2_1/m, No. 11
E_tot, eV/atom: -5.0778

***

This record from OQMD via LeMat-Bulk describes crystalline CsYFe at its relaxed geometry. The functional is GGA-PBE.

Structure (POSCAR):
```
CsYFe
1.0
-2.185 0.769 4.493
-4.887 1.268 0.250
-3.384 -3.315 1.765
Cs Fe Y
1 1 1
direct
0.250 0.250 0.250
0.000 0.000 0.000
0.750 0.750 0.750
```

## Properties
Space-group type: F-43m, No. 216
Energy relative to the lowest polymorph listed for this composition, eV/atom: 0.000

***

This record from OQMD via LeMat-Bulk describes crystalline CsYFe at its relaxed geometry. The functional is GGA-PBE.

Structure (POSCAR):
```
CsYFe
1.0
0.810 -3.280 3.743
-2.876 -4.121 0.407
1.946 -4.541 -1.005
Cs Fe Y
1 1 1
direct
0.000 0.000 0.000
0.250 0.250 0.250
0.750 0.750 0.750
```

## Properties
Space-group type: F-43m, No. 216
Energy relative to the lowest polymorph listed for this composition, eV/atom: 0.469

***

This record from OQMD via LeMat-Bulk describes crystalline CsZr4Fe at its relaxed geometry. The functional is GGA-PBE.

Structure (POSCAR):
```
CsZr4Fe
1.0
-5.276 -0.189 -4.063
-3.596 -0.303 5.599
-0.194 3.749 0.078
Cs Fe Zr
1 1 4
direct
0.000 0.000 0.000
0.500 0.500 0.500
0.328 0.328 0.000
0.672 0.672 0.000
0.738 0.262 0.500
0.262 0.738 0.500
```

## Properties
Space-group type: Cmmm, No. 65
E_tot, eV/atom: -6.2341

***

This record from OQMD via LeMat-Bulk describes crystalline CsGdGaSe3 at its relaxed geometry. The functional is GGA-PBE.

Structure (POSCAR):
```
CsGdGaSe3
1.0
-4.796 5.079 -4.225
1.743 -7.717 2.016
-6.880 0.709 8.663
Cs Ga Gd Se
2 2 2 6
direct
0.245 0.755 0.250
0.755 0.245 0.750
0.981 0.019 0.250
0.019 0.981 0.750
0.500 0.500 0.000
0.500 0.500 0.500
0.886 0.114 0.063
0.555 0.445 0.250
0.886 0.114 0.437
0.114 0.886 0.563
0.445 0.555 0.750
0.114 0.886 0.937
```

## Properties
Space-group type: Cmcm, No. 63
E_tot, eV/atom: -4.4287

***

This record from OQMD via LeMat-Bulk describes crystalline CsHfGaS3 at its relaxed geometry. The functional is GGA-PBE.

Structure (POSCAR):
```
CsHfGaS3
1.0
2.071 -7.530 0.000
2.071 7.530 0.000
0.000 0.000 10.110
Cs Ga Hf S
2 2 2 6
direct
0.241 0.759 0.250
0.759 0.241 0.750
0.968 0.032 0.250
0.032 0.968 0.750
0.500 0.500 0.000
0.500 0.500 0.500
0.889 0.111 0.048
0.543 0.457 0.250
0.889 0.111 0.452
0.111 0.889 0.548
0.457 0.543 0.750
0.111 0.889 0.952
```

## Properties
Space-group type: Cmcm, No. 63
E_tot, eV/atom: -5.2958